A geometry-optimized AcMnC2O8 structure, computed with PBE+U.

Final energy, eV per atom: -7.483
DOS at the Fermi energy, states/eV/f.u.: 2.658
Total magnetic moment, μB/f.u.: 5.586

POSCAR file:
```
AcMnC2O8
1.0
5.2319 0.0000 0.0000
2.6160 5.1557 0.3474
2.6160 2.2297 5.7384
O C Ac Mn
8 2 1 1
Cartesian
8.9579 6.7546 4.7367 O
5.2319 4.1005 5.5534 O
6.7380 6.7546 4.7367 O
3.7259 0.6308 1.3492 O
7.8479 3.9557 3.6820 O
5.2319 3.2849 0.5324 O
2.6160 3.4297 2.4038 O
1.5060 0.6308 1.3492 O
7.8479 6.2895 5.2727 C
2.6160 1.0959 0.8131 C
5.2319 3.6927 3.0429 Ac
0.0000 0.0000 0.0000 Mn
```